Entry 1:
Material: HfSi2PdRh
Method: DFT, PBE
State: relaxed

Cell: 4.462 4.462 5.063 Å, 90.00 90.00 90.00°
Fractional positions:
Hf: 0.000 0.000 0.000
Si: 0.000 0.500 0.500
Si: 0.500 0.000 0.500
Pd: 0.500 0.500 0.000
Rh: 0.000 0.000 0.500

Values from the calculation:
space group = No. 123
DFT total energy = -32.2 eV per formula unit
E above lowest polymorph = 0 meV per atom

Entry 2:
Material: HfSi2PdRh
Method: DFT, PBE
State: relaxed

Cell: 4.975 4.975 4.693 Å, 90.00 90.00 90.00°
Fractional positions:
Hf: 0.000 0.000 0.000
Si: 0.000 0.500 0.000
Si: 0.500 0.000 0.000
Pd: 0.500 0.500 0.500
Rh: 0.000 0.000 0.500

Values from the calculation:
space group = No. 123
DFT total energy = -28.2 eV per formula unit
E above lowest polymorph = 803 meV per atom

Entry 3:
Material: SmHfPdRh
Method: DFT, PBE
State: relaxed

Cell: 4.831 4.831 4.831 Å, 60.00 60.00 60.00°
Fractional positions:
Sm: 0.000 0.000 0.000
Hf: 0.500 0.500 0.500
Pd: 0.250 0.250 0.250
Rh: 0.750 0.750 0.750

Values from the calculation:
space group = No. 216
DFT total energy = -29.8 eV per formula unit
energy relative to the elements = -0.639 eV per atom

Entry 4:
Material: HfTiPd2Rh
Method: DFT, PBE
State: relaxed

Cell: 4.912 4.912 4.310 Å, 90.00 90.00 90.00°
Fractional positions:
Hf: 0.000 0.000 0.000
Ti: 0.500 0.500 0.000
Pd: 0.000 0.500 0.500
Pd: 0.500 0.000 0.500
Rh: 0.500 0.500 0.500

Values from the calculation:
space group = No. 123
DFT total energy = -32.9 eV per formula unit
energy relative to the elements = 0.527 eV per atom

What did the first record say?
Material: HfSi2PdRh
Method: DFT, PBE
State: relaxed

Cell: 4.462 4.462 5.063 Å, 90.00 90.00 90.00°
Fractional positions:
Hf: 0.000 0.000 0.000
Si: 0.000 0.500 0.500
Si: 0.500 0.000 0.500
Pd: 0.500 0.500 0.000
Rh: 0.000 0.000 0.500

Values from the calculation:
space group = No. 123
DFT total energy = -32.2 eV per formula unit
E above lowest polymorph = 0 meV per atom